Compound: ZrTi2Se
Source: Alexandria
Functional: PBE
Structure: relaxed

Structure (CIF):
```
data_ZrTi2Se
_chemical_formula_sum 'Zr3 Ti6 Se3'
_symmetry_space_group_name_H-M 'R 3 m'
_symmetry_Int_Tables_number 160
_symmetry_space_group_name_Hall 'R 3 -2"'
_cell_length_a 3.2696
_cell_length_b 3.2696
_cell_length_c 25.0312
_cell_angle_alpha 90.00
_cell_angle_beta 90.00
_cell_angle_gamma 120.00
loop_
_atom_site_label
_atom_site_type_symbol
_atom_site_fract_x
_atom_site_fract_y
_atom_site_fract_z
_atom_site_occupancy
Zr1 Zr 0.0000 0.0000 0.0000 1
Ti1 Ti 0.0000 0.0000 0.2385 1
Ti2 Ti 0.0000 0.0000 0.4270 1
Se1 Se 0.0000 0.0000 0.8321 1
```

* calculated total energy: -87.90 eV per cell
* formation energy without anion corrections: -369 meV per atom